The following is a DFT calculation (SCAN) of a PBEsol-optimized structure of LaY2Ru.

Properties
Formation energy ... -0.272 eV/atom
Symmetry ... P4/mmm, No. 123
E_tot ... -134.7 eV per cell

Lattice parameters (Å, degrees): 3.399 3.399 9.120 90.00 90.00 90.00
Fractional coordinates of all 4 atoms:
Ru: 0.500 0.500 0.500
Y: 0.000 0.000 0.677
La: 0.500 0.500 0.000
Y: 0.000 0.000 0.323

The following is a DFT calculation (SCAN) of a PBEsol-optimized structure of Li4Cr3Co3Ni2O16.

Properties
Symmetry ... Cm, No. 8
Uncorrected formation energy ... -1.82 eV/atom
E_tot ... -299.7 eV per cell

Lattice parameters (Å, degrees): 5.566 5.566 9.201 89.67 89.67 60.50
Site moments in Bohr magnetons follow the coordinates.
Fractional coordinates of all 28 atoms:
O: 0.668 0.166 0.895  -0.07
Co: 0.167 0.656 0.287  -0.13
O: 0.336 0.336 0.399  0.01
Co: 0.656 0.167 0.287  -0.13
O: 0.521 0.521 0.658  -0.06
Ni: 0.335 0.335 0.015  0.81
Cr: 0.345 0.828 0.789  2.17
O: 0.480 0.480 0.166  -0.03
Ni: 0.667 0.667 0.509  0.87
Cr: 0.173 0.173 0.290  1.97
O: 0.480 0.041 0.158  -0.07
O: 0.961 0.522 0.659  -0.06
O: 0.837 0.837 0.398  -0.09
O: 0.998 0.998 0.194  0.00
Li: 0.996 0.996 0.504  0.00
Li: 0.992 0.992 0.005  0.00
Co: 0.826 0.826 0.787  -0.04
O: 0.838 0.328 0.393  -0.08
Cr: 0.828 0.345 0.789  2.17
Li: 0.336 0.336 0.603  0.00
O: 0.998 0.998 0.693  0.00
O: 0.522 0.961 0.659  -0.06
O: 0.164 0.164 0.895  -0.07
O: 0.166 0.668 0.895  -0.07
O: 0.041 0.480 0.158  -0.07
O: 0.666 0.666 0.904  0.02
Li: 0.668 0.668 0.110  0.00
O: 0.328 0.838 0.393  -0.08

The following is a DFT calculation (SCAN) of a PBEsol-optimized structure of CsHg3Pt.

Properties
Formation energy ... -0.385 eV/atom
Symmetry ... Pm-3m, No. 221
E_tot ... -314.4 eV per cell

Lattice parameters (Å, degrees): 5.319 5.319 5.319 90.00 90.00 90.00
Fractional coordinates of all 5 atoms:
Hg: 0.000 0.000 0.500
Hg: 0.000 0.500 0.000
Cs: 0.500 0.500 0.500
Pt: 0.000 0.000 0.000
Hg: 0.500 0.000 0.000

The following is a DFT calculation (SCAN) of a PBEsol-optimized structure of TaZnHg2.

Properties
Formation energy ... 0.282 eV/atom
Symmetry ... P4/mmm, No. 123
E_tot ... -215.3 eV per cell

Lattice parameters (Å, degrees): 4.154 4.143 4.143 90.00 90.00 90.00
Fractional coordinates of all 4 atoms:
Zn: 0.500 0.000 0.000
Ta: 0.500 0.500 0.500
Hg: 0.000 0.500 0.000
Hg: 0.000 0.000 0.500

The following is a DFT calculation (SCAN) of a PBEsol-optimized structure of Zn2PW.

Properties
Formation energy ... 0.411 eV/atom
Symmetry ... Cmmm, No. 65
E_tot ... -105.5 eV per cell

Lattice parameters (Å, degrees): 2.702 2.702 8.277 90.00 90.00 104.97
Fractional coordinates of all 4 atoms:
P: 0.500 0.500 0.500
Zn: 0.000 0.000 0.253
Zn: 0.000 0.000 0.747
W: 0.500 0.500 0.000

The following is a DFT calculation (SCAN) of a PBEsol-optimized structure of SrScTi2Re.

Properties
Formation energy ... 0.760 eV/atom
Symmetry ... P4/mmm, No. 123
E_tot ... -135.9 eV per cell

Lattice parameters (Å, degrees): 4.765 4.765 5.600 90.00 90.00 90.00
Fractional coordinates of all 5 atoms:
Sr: 0.000 0.000 0.500
Ti: 0.000 0.500 0.000
Sc: 0.500 0.500 0.500
Ti: 0.500 0.000 0.000
Re: 0.000 0.000 0.000